MgRu2Se | PBE | optimized geometry

Lattice parameters (Å, degrees): 4.4412 2.9966 4.9897 90.00 114.08 90.00
Fractional coordinates of all 4 atoms:
Mg 0.0000 0.0000 0.0000
Ru 0.5000 0.0000 0.5000
Ru 0.5000 0.5000 0.0000
Se 0.0000 0.5000 0.5000

Calculated values
Space-group type   No. 10
Formation energy from raw total energies   0.098 eV per atom
Magnetization   0.000 μB/cell
Energy relative to the lowest polymorph listed for this composition   62 meV per atom

***

CaTaAg2 | PBE | optimized geometry

Lattice parameters (Å, degrees): 6.2998 6.2998 6.2998 103.92 103.92 121.25
Fractional coordinates of all 8 atoms:
Ca 0.0000 0.0000 0.0000
Ca 0.7500 0.2500 0.5000
Ta 0.2500 0.7500 0.5000
Ta 0.5000 0.5000 0.0000
Ag 0.1550 0.1250 0.5300
Ag 0.3750 0.8450 0.9700
Ag 0.5950 0.6250 0.4700
Ag 0.8750 0.4050 0.0300

Calculated values
Space-group type   No. 122
E_form   0.764 eV/atom
Magnetization   3.176 μB/cell
Energy relative to the lowest polymorph listed for this composition   501 meV per atom

***

LiBOs2 | PBE | optimized geometry

Lattice parameters (Å, degrees): 8.3221 8.3221 8.3221 152.98 152.98 38.59
Fractional coordinates of all 8 atoms:
Li 0.0000 0.0000 0.0000
Li 0.7500 0.2500 0.5000
B 0.2500 0.7500 0.5000
B 0.5000 0.5000 0.0000
Os 0.2131 0.6250 0.0881
Os 0.3750 0.4631 0.5881
Os 0.5369 0.1250 0.9119
Os 0.8750 0.7869 0.4119

Calculated values
Space-group type   No. 122
E_form   0.955 eV/atom
Magnetization   0.000 μB/cell

***

CsNaTa3 | PBE | optimized geometry

Lattice parameters (Å, degrees): 5.2009 5.2009 5.2009 90.00 90.00 90.00
Fractional coordinates of all 5 atoms:
Cs 0.0000 0.0000 0.0000
Na 0.5000 0.5000 0.5000
Ta 0.0000 0.0000 0.5000
Ta 0.0000 0.5000 0.0000
Ta 0.5000 0.0000 0.0000

Calculated values
Space-group type   No. 221
E_form   3.074 eV/atom
Magnetization   0.000 μB/cell
Energy relative to the lowest polymorph listed for this composition   216 meV per atom

***

CeEu2Y | PBE | optimized geometry

Lattice parameters (Å, degrees): 5.9826 5.9826 4.0160 90.00 90.00 90.00
Fractional coordinates of all 4 atoms:
Ce 0.0000 0.0000 0.0000
Eu 0.0000 0.5000 0.5000
Eu 0.5000 0.0000 0.5000
Y 0.5000 0.5000 0.0000

Calculated values
Space-group type   No. 123
E_form   0.229 eV/atom
Magnetization   16.097 μB/cell
Energy relative to the lowest polymorph listed for this composition   41 meV per atom

***

Na3Tl6In | PBE | optimized geometry

Lattice parameters (Å, degrees): 9.1171 5.6455 11.9695 90.00 111.13 90.00
Fractional coordinates of all 20 atoms:
Na 0.0519 0.2500 0.3816
Na 0.1402 0.7500 0.2221
Na 0.2709 0.2500 0.9814
Na 0.7291 0.7500 0.0186
Na 0.8598 0.2500 0.7779
Na 0.9481 0.7500 0.6184
Tl 0.0333 0.7500 0.9243
Tl 0.1674 0.2500 0.6802
Tl 0.2471 0.7500 0.5195
Tl 0.3404 0.7500 0.8228
Tl 0.3576 0.2500 0.2868
Tl 0.4380 0.7500 0.1284
Tl 0.5620 0.2500 0.8716
Tl 0.6424 0.7500 0.7132
Tl 0.6596 0.2500 0.1772
Tl 0.7529 0.2500 0.4805
Tl 0.8326 0.7500 0.3198
Tl 0.9667 0.2500 0.0757
In 0.4608 0.2500 0.5781
In 0.5392 0.7500 0.4219

Calculated values
Space-group type   No. 11
E_form   -0.080 eV/atom
Magnetization   0.000 μB/cell
Energy relative to the lowest polymorph listed for this composition   0 meV per atom

***

BaAsAu | PBE | optimized geometry

Lattice parameters (Å, degrees): 6.5406 6.5406 4.9234 90.00 90.00 90.00
Fractional coordinates of all 6 atoms:
Ba 0.2500 0.7500 0.0000
Ba 0.7500 0.2500 0.0000
As 0.2500 0.2500 0.1662
As 0.7500 0.7500 0.8338
Au 0.2500 0.2500 0.6601
Au 0.7500 0.7500 0.3399

Calculated values
Space-group type   No. 129
E_form   -0.618 eV/atom
Magnetization   0.000 μB/cell

***

YOs2Br | PBE | optimized geometry

Lattice parameters (Å, degrees): 6.2231 6.2231 6.2231 145.00 145.00 50.33
Fractional coordinates of all 4 atoms:
Y 0.0000 0.0000 0.0000
Os 0.2500 0.7500 0.5000
Os 0.7500 0.2500 0.5000
Br 0.5000 0.5000 0.0000

Calculated values
Space-group type   No. 139
Formation energy from raw total energies   0.493 eV per atom
Magnetization   0.000 μB/cell
Energy relative to the lowest polymorph listed for this composition   556 meV per atom

***

BaGaOs2O8 | PBE | optimized geometry

Lattice parameters (Å, degrees): 5.4118 5.4118 7.5386 90.00 90.00 120.00
Fractional coordinates of all 12 atoms:
Ba 0.0000 0.0000 0.0000
Ga 0.0000 0.0000 0.5000
Os 0.3333 0.6667 0.7087
Os 0.6667 0.3333 0.2913
O 0.0359 0.3036 0.6670
O 0.2677 0.9641 0.6670
O 0.3036 0.2677 0.3330
O 0.3333 0.6667 0.9507
O 0.6667 0.3333 0.0493
O 0.6964 0.7323 0.6670
O 0.7323 0.0359 0.3330
O 0.9641 0.6964 0.3330

Calculated values
Space-group type   No. 147
Formation energy from raw total energies   -1.257 eV per atom
Magnetization   3.004 μB/cell

***

BeZnF3 | PBE | optimized geometry

Lattice parameters (Å, degrees): 4.0374 4.0374 4.0374 90.00 90.00 90.00
Fractional coordinates of all 5 atoms:
Be 0.0000 0.0000 0.0000
Zn 0.5000 0.5000 0.5000
F 0.0000 0.5000 0.5000
F 0.5000 0.0000 0.5000
F 0.5000 0.5000 0.0000

Calculated values
Space-group type   No. 221
Formation energy from raw total energies   -1.297 eV per atom
Magnetization   0.921 μB/cell
Energy relative to the lowest polymorph listed for this composition   733 meV per atom